DFT (PBE) results for IrPtRh after structural relaxation.

Values from the calculation:
Polymorph energy (0 for the lowest one) (eV per formula unit): 0.11
Theoretical density (g/cm3): 18.4
N(E_F) (states/eV per atom): 1.29
Size of the total moment (μB/atom): 0.000
V (Å³ per atom): 14.78
Electronic total energy (eV/atom): -7.415
ΔE_f (eV per atom): 0.00

Cell and atoms, written as CIF:
```
data_IrPtRh
_chemical_formula_sum 'Ir2 Pt2 Rh2'
_symmetry_space_group_name_H-M 'I 4 m m'
_symmetry_Int_Tables_number 107
_symmetry_space_group_name_Hall 'I 4 -2'
_cell_length_a 2.749
_cell_length_b 2.749
_cell_length_c 11.740
_cell_angle_alpha 90.00
_cell_angle_beta 90.00
_cell_angle_gamma 90.00
loop_
_atom_site_label
_atom_site_type_symbol
_atom_site_fract_x
_atom_site_fract_y
_atom_site_fract_z
Ir1 Ir 0.000 0.000 0.000
Pt1 Pt 0.000 0.000 0.330
Rh1 Rh 0.000 0.000 0.657
```